[1]
Below is crystalline Sb2IrSe at its relaxed geometry, with properties calculated at the PBE level.

a = 3.427 Å, b = 3.427 Å, c = 7.447 Å
α = 90.00°, β = 90.00°, γ = 90.00°
Space group P4mm (No. 99)
Asymmetric unit:
Sb1 0.000 0.000 0.000 (multiplicity 1)
Sb2 0.500 0.500 0.369 (multiplicity 1)
Ir1 0.500 0.500 0.811 (multiplicity 1)
Se1 0.000 0.000 0.592 (multiplicity 1)

crystal system = tetragonal
formation energy (no corrections) = 0.28 eV per atom

***

[2]
Below is crystalline YBeAu3 at its relaxed geometry, with properties calculated at the PBE level.

a = 7.174 Å, b = 5.123 Å, c = 10.743 Å
α = 90.00°, β = 110.68°, γ = 90.00°
Space group P2_1/c (No. 14)
Asymmetric unit:
Y1 0.187 0.117 0.168 (multiplicity 4)
Be1 0.394 0.171 0.475 (multiplicity 4)
Au1 0.042 0.127 0.394 (multiplicity 4)
Au2 0.288 0.601 0.388 (multiplicity 4)
Au3 0.398 0.611 0.150 (multiplicity 4)

crystal system = monoclinic
ΔE to the lowest computed polymorph = 23.0 kJ/mol of formula units
energy relative to the elements = -519 meV/atom

***

[3]
Below is crystalline MgGaS3 at its relaxed geometry, with properties calculated at the PBE level.

a = 5.9069 Å, b = 5.9069 Å, c = 6.2489 Å
α = 90.00°, β = 90.00°, γ = 120.00°
Space group P-6c2 (No. 188)
Asymmetric unit:
Mg1 0.0000 0.0000 0.0000 (multiplicity 2)
Ga1 0.3333 0.6667 0.0000 (multiplicity 2)
S1 0.3547 0.0042 0.2500 (multiplicity 6)

crystal system = hexagonal
ΔE to the lowest computed polymorph = 0.0 kJ/mol of formula units
formation energy (no corrections) = -0.53 eV per atom

***

[4]
Below is crystalline Tl4SbPb at its relaxed geometry, with properties calculated at the PBE level.

a = 9.967 Å, b = 12.739 Å, c = 6.666 Å
α = 90.00°, β = 115.09°, γ = 90.00°
Space group C2/c (No. 15)
Asymmetric unit:
Tl1 0.165 0.046 0.248 (multiplicity 8)
Tl2 0.169 0.305 0.238 (multiplicity 8)
Sb1 0.000 0.191 0.750 (multiplicity 4)
Pb1 0.000 0.452 0.750 (multiplicity 4)

crystal system = monoclinic
ΔE to the lowest computed polymorph = 0.0 kJ/mol of formula units
formation energy (no corrections) = 0.03 eV per atom

***

[5]
Below is crystalline TlSbOs2 at its relaxed geometry, with properties calculated at the PBE level.

a = 3.238 Å, b = 4.387 Å, c = 5.302 Å
α = 90.00°, β = 90.00°, γ = 90.00°
Space group Pmmm (No. 47)
Asymmetric unit:
Tl1 0.000 0.000 0.000 (multiplicity 1)
Sb1 0.500 0.000 0.500 (multiplicity 1)
Os1 0.000 0.500 0.500 (multiplicity 1)
Os2 0.500 0.500 0.000 (multiplicity 1)

crystal system = orthorhombic
ΔE to the lowest computed polymorph = 256.7 kJ/mol of formula units
formation energy (no corrections) = 1.13 eV per atom

***

no.,ρ (Mg/m³),N(E_F) (states/eV/atom)
1,9.77,0.523
2,12.39,0.394
3,3.35,0.432
4,9.94,0.495
5,15.58,0.991